[1]
Computed, not measured: a geometry-optimized RbAlFe2 structure at the PBE-GGA level of DFT.

abc: 4.879 4.879 9.495
angles: 75.11 75.11 90.00
Fractional coordinates of all 8 atoms:
Al: 0.500 0.500 0.000
Al: 0.250 0.750 0.500
Fe: 0.375 0.625 0.750
Fe: 0.375 0.125 0.250
Fe: 0.375 0.625 0.250
Fe: 0.875 0.625 0.750
Rb: 0.750 0.250 0.500
Rb: 0.000 0.000 0.000

## Properties
Crystal system = tetragonal
Offset from the most stable computed form = 0.000 eV/atom
Formation enthalpy at 0 K = 0.932 eV per atom
DOS(E_F) = 1.355 states/eV/atom

[2]
Computed, not measured: a geometry-optimized Rb2AlFe structure at the PBE-GGA level of DFT.

abc: 6.084 6.084 6.084
angles: 60.00 60.00 60.00
Fractional coordinates of all 4 atoms:
Rb: 0.250 0.250 0.250
Rb: 0.750 0.750 0.750
Fe: 0.500 0.500 0.500
Al: 0.000 0.000 0.000

## Properties
Crystal system = cubic
Offset from the most stable computed form = 0.425 eV/atom
Formation enthalpy at 0 K = 1.131 eV per atom
DOS(E_F) = 1.020 states/eV/atom

[3]
Computed, not measured: a geometry-optimized RbAl3Fe structure at the PBE-GGA level of DFT.

abc: 5.755 5.755 5.755
angles: 90.00 90.00 90.00
Fractional coordinates of all 5 atoms:
Al: 0.000 0.500 0.000
Al: 0.500 0.000 0.000
Al: 0.000 0.000 0.500
Fe: 0.500 0.500 0.500
Rb: 0.000 0.000 0.000

## Properties
Crystal system = cubic
Offset from the most stable computed form = 2.198 eV/atom
Formation enthalpy at 0 K = 2.230 eV per atom
DOS(E_F) = 2.026 states/eV/atom

[4]
Computed, not measured: a geometry-optimized Rb2AlFe structure at the PBE-GGA level of DFT.

abc: 13.320 13.320 9.717
angles: 46.73 46.73 90.00
Fractional coordinates of all 8 atoms:
Rb: 0.819 0.125 0.250
Rb: 0.375 0.181 0.750
Rb: 0.875 0.069 0.750
Rb: 0.931 0.625 0.250
Fe: 0.000 0.000 0.000
Fe: 0.750 0.250 0.500
Al: 0.250 0.750 0.500
Al: 0.500 0.500 0.000

## Properties
Crystal system = tetragonal
Offset from the most stable computed form = 0.000 eV/atom
Formation enthalpy at 0 K = 0.706 eV per atom
DOS(E_F) = 2.023 states/eV/atom

[5]
Computed, not measured: a geometry-optimized RbAlFe2 structure at the PBE-GGA level of DFT.

abc: 4.521 4.521 4.521
angles: 60.00 60.00 60.00
Fractional coordinates of all 4 atoms:
Fe: 0.250 0.250 0.250
Fe: 0.750 0.750 0.750
Rb: 0.500 0.500 0.500
Al: 0.000 0.000 0.000

## Properties
Crystal system = cubic
Offset from the most stable computed form = 0.652 eV/atom
Formation enthalpy at 0 K = 1.584 eV per atom
DOS(E_F) = 3.204 states/eV/atom

[6]
Computed, not measured: a geometry-optimized RbAl2FeSb structure at the PBE-GGA level of DFT.

abc: 5.613 4.593 5.613
angles: 90.00 90.00 90.00
Fractional coordinates of all 5 atoms:
Rb: 0.000 0.000 0.000
Al: 0.500 0.000 0.000
Al: 0.000 0.000 0.500
Sb: 0.500 0.500 0.500
Fe: 0.000 0.500 0.000

## Properties
Crystal system = tetragonal
DOS(E_F) = 1.373 states/eV/atom
Uncorrected formation energy = 2.07 eV per atom

[7]
Computed, not measured: a geometry-optimized RbAl2FeSe structure at the PBE-GGA level of DFT.

abc: 5.131 6.153 5.131
angles: 90.00 90.00 90.00
Fractional coordinates of all 5 atoms:
Al: 0.500 0.000 0.000
Al: 0.000 0.000 0.500
Rb: 0.000 0.500 0.000
Se: 0.000 0.000 0.000
Fe: 0.500 0.500 0.500

## Properties
Crystal system = tetragonal
DOS(E_F) = 2.290 states/eV/atom
Uncorrected formation energy = 0.93 eV per atom

[8]
Computed, not measured: a geometry-optimized RbAl2TlFe structure at the PBE-GGA level of DFT.

abc: 4.773 5.172 4.773
angles: 90.00 90.00 90.00
Fractional coordinates of all 5 atoms:
Rb: 0.500 0.500 0.500
Al: 0.500 0.000 0.000
Al: 0.000 0.000 0.500
Fe: 0.000 0.000 0.000
Tl: 0.000 0.500 0.000

## Properties
Crystal system = tetragonal
Formation enthalpy at 0 K = 0.113 eV per atom
DOS(E_F) = 0.038 states/eV/atom